Arrangement w

First-principles (GGA-PBE) data for an optimized crystal structure of Ba2ReNi, as listed in the Alexandria database.

Summary:
- crystal system = orthorhombic
- D(E_F) (states/eV/atom) = 1.385

a b c (Å): 4.256 6.239 6.239
angles (deg): 47.26 90.00 90.00
Atoms (fractional coordinates):
1 Ba 0.000 0.000 0.000
2 Ba 0.500 0.291 0.291
3 Re 0.500 0.606 0.606
4 Ni 0.000 0.688 0.688


Arrangement x

First-principles (GGA-PBE) data for an optimized crystal structure of Ba2ReNi, as listed in the Alexandria database.

Summary:
- crystal system = trigonal
- D(E_F) (states/eV/atom) = 0.950

a b c (Å): 9.805 9.805 9.805
angles (deg): 21.03 21.03 21.03
Atoms (fractional coordinates):
1 Ba 0.246 0.246 0.246
2 Ba 0.754 0.754 0.754
3 Re 0.000 0.000 0.000
4 Ni 0.500 0.500 0.500


Of them, arrangement w has the highest stability.


Arrangement w

First-principles (GGA-PBE) data for an optimized crystal structure of BaRe3Ni, as listed in the Alexandria database.

Summary:
- crystal system = cubic
- D(E_F) (states/eV/atom) = 1.865

a b c (Å): 4.932 4.932 4.932
angles (deg): 90.00 90.00 90.00
Atoms (fractional coordinates):
1 Ba 0.000 0.000 0.000
2 Re 0.000 0.000 0.500
3 Re 0.000 0.500 0.000
4 Re 0.500 0.000 0.000
5 Ni 0.500 0.500 0.500


Arrangement x

First-principles (GGA-PBE) data for an optimized crystal structure of BaRe3Ni, as listed in the Alexandria database.

Summary:
- crystal system = cubic
- D(E_F) (states/eV/atom) = 6.233

a b c (Å): 4.683 4.683 4.683
angles (deg): 90.00 90.00 90.00
Atoms (fractional coordinates):
1 Ba 0.000 0.000 0.000
2 Re 0.000 0.500 0.500
3 Re 0.500 0.000 0.500
4 Re 0.500 0.500 0.000
5 Ni 0.500 0.500 0.500


Of them, arrangement x has the highest stability.


Arrangement w

First-principles (GGA-PBE) data for an optimized crystal structure of BaReNi2, as listed in the Alexandria database.

Summary:
- crystal system = cubic
- D(E_F) (states/eV/atom) = 1.909

a b c (Å): 4.651 4.651 4.651
angles (deg): 60.00 60.00 60.00
Atoms (fractional coordinates):
1 Ba 0.000 0.000 0.000
2 Re 0.250 0.250 0.250
3 Ni 0.500 0.500 0.500
4 Ni 0.750 0.750 0.750


Arrangement x

First-principles (GGA-PBE) data for an optimized crystal structure of BaReNi2, as listed in the Alexandria database.

Summary:
- crystal system = cubic
- D(E_F) (states/eV/atom) = 0.867

a b c (Å): 4.742 4.742 4.742
angles (deg): 60.00 60.00 60.00
Atoms (fractional coordinates):
1 Ba 0.000 0.000 0.000
2 Re 0.500 0.500 0.500
3 Ni 0.250 0.250 0.250
4 Ni 0.750 0.750 0.750


Arrangement y

First-principles (GGA-PBE) data for an optimized crystal structure of BaReNi2, as listed in the Alexandria database.

Summary:
- crystal system = tetragonal
- D(E_F) (states/eV/atom) = 0.912

a b c (Å): 5.480 5.480 5.480
angles (deg): 137.79 137.79 61.23
Atoms (fractional coordinates):
1 Ba 0.000 0.000 0.000
2 Re 0.750 0.250 0.500
3 Ni 0.250 0.750 0.500
4 Ni 0.500 0.500 0.000


Of them, arrangement x has the highest stability.


Arrangement w

First-principles (GGA-PBE) data for an optimized crystal structure of BaNi2Rh2, as listed in the Alexandria database.

Summary:
- crystal system = tetragonal
- D(E_F) (states/eV/atom) = 1.277

a b c (Å): 5.952 5.952 5.952
angles (deg): 137.68 137.68 61.39
Atoms (fractional coordinates):
1 Ba 0.000 0.000 0.000
2 Ni 0.375 0.375 0.000
3 Ni 0.625 0.625 0.000
4 Rh 0.250 0.750 0.500
5 Rh 0.750 0.250 0.500


Arrangement x

First-principles (GGA-PBE) data for an optimized crystal structure of BaNi2Rh2, as listed in the Alexandria database.

Summary:
- crystal system = tetragonal
- D(E_F) (states/eV/atom) = 2.170

a b c (Å): 7.642 7.642 2.912
angles (deg): 90.00 90.00 90.00
Atoms (fractional coordinates):
1 Ba 0.000 0.000 0.000
2 Ba 0.500 0.500 0.000
3 Ni 0.117 0.383 0.000
4 Ni 0.383 0.883 0.000
5 Ni 0.617 0.117 0.000
6 Ni 0.883 0.617 0.000
7 Rh 0.167 0.667 0.500
8 Rh 0.333 0.167 0.500
9 Rh 0.667 0.833 0.500
10 Rh 0.833 0.333 0.500


Of them, arrangement w has the highest stability.


Arrangement w

First-principles (GGA-PBE) data for an optimized crystal structure of BaNiSn2Rh, as listed in the Alexandria database.

Summary:
- crystal system = tetragonal
- D(E_F) (states/eV/atom) = 0.785

a b c (Å): 6.532 6.532 6.532
angles (deg): 138.04 138.04 60.84
Atoms (fractional coordinates):
1 Ba 0.000 0.000 0.000
2 Ni 0.250 0.750 0.500
3 Sn 0.353 0.353 0.000
4 Sn 0.647 0.647 0.000
5 Rh 0.750 0.250 0.500


Arrangement x

First-principles (GGA-PBE) data for an optimized crystal structure of BaNiSn2Rh, as listed in the Alexandria database.

Summary:
- crystal system = tetragonal
- D(E_F) (states/eV/atom) = 0.900

a b c (Å): 4.847 4.847 5.614
angles (deg): 90.00 90.00 90.00
Atoms (fractional coordinates):
1 Ba 0.000 0.000 0.000
2 Ni 0.000 0.000 0.500
3 Sn 0.000 0.500 0.500
4 Sn 0.500 0.000 0.500
5 Rh 0.500 0.500 0.000


Of them, arrangement w has the highest stability.


Arrangement w

First-principles (GGA-PBE) data for an optimized crystal structure of BaNi3Ru, as listed in the Alexandria database.

Summary:
- crystal system = cubic
- D(E_F) (states/eV/atom) = 1.710

a b c (Å): 4.682 4.682 4.682
angles (deg): 90.00 90.00 90.00
Atoms (fractional coordinates):
1 Ba 0.000 0.000 0.000
2 Ni 0.000 0.500 0.500
3 Ni 0.500 0.000 0.500
4 Ni 0.500 0.500 0.000
5 Ru 0.500 0.500 0.500


Arrangement x

First-principles (GGA-PBE) data for an optimized crystal structure of BaNi3Ru, as listed in the Alexandria database.

Summary:
- crystal system = cubic
- D(E_F) (states/eV/atom) = 1.342

a b c (Å): 4.792 4.792 4.792
angles (deg): 90.00 90.00 90.00
Atoms (fractional coordinates):
1 Ba 0.000 0.000 0.000
2 Ni 0.000 0.000 0.500
3 Ni 0.000 0.500 0.000
4 Ni 0.500 0.000 0.000
5 Ru 0.500 0.500 0.500


Of them, arrangement w has the highest stability.